[1]
First-principles (GGA-PBEsol) data for a geometry-optimized Ni3GeBr structure, as listed in Alexandria via LeMat-Bulk.

Calculated values
The uncorrected formation energy is 857 meV per atom. The density of states at the Fermi level is 2.95 states/eV/f.u. The calculation puts the total energy at -4.199 eV/atom.

Lattice parameters (Å, degrees): 4.3394 4.3394 4.3394 90.00 90.00 90.00
Closest atoms and distances in Å follow each position.
Element x y z (fractional)
Ni  0.5000  0.0000  0.0000  2 Br 2.17
Ni  0.0000  0.0000  0.5000  2 Br 2.17
Ni  0.0000  0.5000  0.0000  2 Br 2.17
Br  0.0000  0.0000  0.0000  6 Ni 2.17
Ge  0.5000  0.5000  0.5000  12 Ni 3.07

---

[2]
First-principles (GGA-PBEsol) data for a geometry-optimized Ni2GeSbBr structure, as listed in Alexandria via LeMat-Bulk.

Calculated values
The uncorrected formation energy is 687 meV per atom. The density of states at the Fermi level is 5.51 states/eV/f.u. The calculation puts the total energy at -4.049 eV/atom.

Lattice parameters (Å, degrees): 4.4008 4.4008 5.2967 90.00 90.00 90.00
Closest atoms and distances in Å follow each position.
Element x y z (fractional)
Ni  0.0000  0.5000  0.0000  2 Ge 2.20
Ni  0.5000  0.0000  0.0000  2 Ge 2.20
Sb  0.5000  0.5000  0.5000  4 Br 3.11, 8 Ni 3.44
Br  0.0000  0.0000  0.5000  2 Ge 2.65
Ge  0.0000  0.0000  0.0000  4 Ni 2.20

---

[3]
First-principles (GGA-PBEsol) data for a geometry-optimized GeBr3O structure, as listed in Alexandria via LeMat-Bulk.

Calculated values
The uncorrected formation energy is 424 meV per atom. The density of states at the Fermi level is 6.59 states/eV/f.u. The calculation puts the total energy at -2.735 eV/atom.

Lattice parameters (Å, degrees): 5.1372 5.1372 5.1372 90.00 90.00 90.00
Closest atoms and distances in Å follow each position.
Element x y z (fractional)
Ge  0.0000  0.0000  0.0000  6 Br 2.57
Br  0.0000  0.5000  0.0000  2 Ge 2.57
Br  0.0000  0.0000  0.5000  2 Ge 2.57
Br  0.5000  0.0000  0.0000  2 Ge 2.57
O  0.5000  0.5000  0.5000  12 Br 3.63

---

[4]
First-principles (GGA-PBEsol) data for a geometry-optimized GeOs2Br structure, as listed in Alexandria via LeMat-Bulk.

Calculated values
The uncorrected formation energy is 1019 meV per atom. The density of states at the Fermi level is 2.91 states/eV/f.u. The calculation puts the total energy at -6.791 eV/atom.

Lattice parameters (Å, degrees): 4.3868 4.3868 4.3868 60.00 60.00 60.00
Closest atoms and distances in Å follow each position.
Element x y z (fractional)
Os  0.7500  0.7500  0.7500  4 Ge 2.69, 4 Br 2.69
Os  0.2500  0.2500  0.2500  4 Br 2.69, 4 Ge 2.69
Ge  0.0000  0.0000  0.0000  8 Os 2.69
Br  0.5000  0.5000  0.5000  8 Os 2.69

---

[5]
First-principles (GGA-PBEsol) data for a geometry-optimized GeOsBr2 structure, as listed in Alexandria via LeMat-Bulk.

Calculated values
The uncorrected formation energy is 661 meV per atom. The density of states at the Fermi level is 2.85 states/eV/f.u. The calculation puts the total energy at -4.563 eV/atom.

Lattice parameters (Å, degrees): 2.9116 2.9116 11.7143 82.86 82.86 60.00
Closest atoms and distances in Å follow each position.
Element x y z (fractional)
Br  0.0679  0.0679  0.7963  1 Os 2.36
Br  0.9321  0.9321  0.2037  1 Os 2.36
Ge  0.5000  0.5000  0.5000  6 Ge 2.91
Os  0.0000  0.0000  0.0000  2 Br 2.36

---

[6]
First-principles (GGA-PBEsol) data for a geometry-optimized Ge19P4Br4 structure, as listed in Alexandria via LeMat-Bulk.

Calculated values
The uncorrected formation energy is -194 meV per atom. The calculation puts the total energy at -4.804 eV/atom.

Lattice parameters (Å, degrees): 10.3938 10.3938 10.3938 90.00 90.00 90.00
Closest atoms and distances in Å follow each position.
Element x y z (fractional)
Ge  0.6182  0.4983  0.8073  1 P 2.39, 3 Ge 2.42-2.46
Ge  0.8073  0.6182  0.4983  1 P 2.39, 3 Ge 2.42-2.46
Ge  0.2500  0.5000  0.0000  4 Ge 2.43
Ge  0.8818  0.6927  0.9983  1 P 2.39, 3 Ge 2.42-2.46
Ge  0.3073  0.9983  0.1182  1 P 2.39, 3 Ge 2.42-2.46
Ge  0.9983  0.1182  0.3073  1 P 2.39, 3 Ge 2.42-2.46
Ge  0.3148  0.3148  0.6852  1 P 2.36, 3 Ge 2.42
Ge  0.1182  0.6927  0.0017  1 P 2.39, 3 Ge 2.42-2.46
Ge  0.4983  0.1927  0.3818  1 P 2.39, 3 Ge 2.42-2.46
Ge  0.0000  0.7500  0.5000  4 Ge 2.43
Ge  0.1182  0.3073  0.9983  1 P 2.39, 3 Ge 2.42-2.46
Ge  0.3073  0.0017  0.8818  1 P 2.39, 3 Ge 2.42-2.46
Ge  0.1927  0.3818  0.4983  1 P 2.39, 3 Ge 2.42-2.46
Ge  0.4983  0.8073  0.6182  1 P 2.39, 3 Ge 2.42-2.46
Ge  0.8818  0.3073  0.0017  1 P 2.39, 3 Ge 2.42-2.46
Ge  0.8073  0.3818  0.5017  1 P 2.39, 3 Ge 2.42-2.46
Ge  0.8148  0.8148  0.1852  1 P 2.36, 3 Ge 2.42
Ge  0.6852  0.3148  0.3148  1 P 2.36, 3 Ge 2.42
Ge  0.6852  0.6852  0.6852  1 P 2.36, 3 Ge 2.42
Ge  0.0000  0.2500  0.5000  4 Ge 2.43
Ge  0.6927  0.9983  0.8818  1 P 2.39, 3 Ge 2.42-2.46
Ge  0.3148  0.6852  0.3148  1 P 2.36, 3 Ge 2.42
Ge  0.8148  0.1852  0.8148  1 P 2.36, 3 Ge 2.42
Ge  0.5000  0.0000  0.2500  4 Ge 2.43
Ge  0.0017  0.8818  0.3073  1 P 2.39, 3 Ge 2.42-2.46
Ge  0.1927  0.6182  0.5017  1 P 2.39, 3 Ge 2.42-2.46
Ge  0.5017  0.8073  0.3818  1 P 2.39, 3 Ge 2.42-2.46
Ge  0.3818  0.4983  0.1927  1 P 2.39, 3 Ge 2.42-2.46
Ge  0.1852  0.8148  0.8148  1 P 2.36, 3 Ge 2.42
Ge  0.7500  0.5000  0.0000  4 Ge 2.43
Ge  0.1852  0.1852  0.1852  1 P 2.36, 3 Ge 2.42
Ge  0.6927  0.0017  0.1182  1 P 2.39, 3 Ge 2.42-2.46
Ge  0.6182  0.5017  0.1927  1 P 2.39, 3 Ge 2.42-2.46
Ge  0.5017  0.1927  0.6182  1 P 2.39, 3 Ge 2.42-2.46
Ge  0.0017  0.1182  0.6927  1 P 2.39, 3 Ge 2.42-2.46
Ge  0.3818  0.5017  0.8073  1 P 2.39, 3 Ge 2.42-2.46
Ge  0.5000  0.0000  0.7500  4 Ge 2.43
Ge  0.9983  0.8818  0.6927  1 P 2.39, 3 Ge 2.42-2.46
P  0.3161  0.6839  0.6839  4 Ge 2.36-2.39
P  0.6839  0.3161  0.6839  4 Ge 2.36-2.39
P  0.3161  0.3161  0.3161  4 Ge 2.36-2.39
P  0.1839  0.8161  0.1839  4 Ge 2.36-2.39
P  0.6839  0.6839  0.3161  4 Ge 2.36-2.39
P  0.8161  0.8161  0.8161  4 Ge 2.36-2.39
P  0.1839  0.1839  0.8161  4 Ge 2.36-2.39
P  0.8161  0.1839  0.1839  4 Ge 2.36-2.39
Br  0.2500  0.0000  0.5000  16 Ge 3.49-3.86, 4 P 3.86
Br  0.7500  0.0000  0.5000  16 Ge 3.49-3.86, 4 P 3.86
Br  0.0000  0.5000  0.7500  16 Ge 3.49-3.86, 4 P 3.86
Br  0.0000  0.0000  0.0000  4 P 3.31, 16 Ge 3.33-3.42
Br  0.5000  0.7500  0.0000  16 Ge 3.49-3.86, 4 P 3.86
Br  0.5000  0.5000  0.5000  4 P 3.31, 16 Ge 3.33-3.42
Br  0.5000  0.2500  0.0000  16 Ge 3.49-3.86, 4 P 3.86
Br  0.0000  0.5000  0.2500  16 Ge 3.49-3.86, 4 P 3.86

---

[7]
First-principles (GGA-PBEsol) data for a geometry-optimized GePSeBr2 structure, as listed in Alexandria via LeMat-Bulk.

Calculated values
The uncorrected formation energy is 300 meV per atom. The density of states at the Fermi level is 3.31 states/eV/f.u. The calculation puts the total energy at -3.364 eV/atom.

Lattice parameters (Å, degrees): 4.9362 4.9362 4.9127 90.00 90.00 90.00
Closest atoms and distances in Å follow each position.
Element x y z (fractional)
Ge  0.5000  0.5000  0.5000  8 Br 3.48, 4 Se 3.49
Br  0.0000  0.5000  0.0000  2 P 2.47
Br  0.5000  0.0000  0.0000  2 P 2.47
P  0.0000  0.0000  0.0000  2 Se 2.46, 4 Br 2.47
Se  0.0000  0.0000  0.5000  2 P 2.46

---

[8]
First-principles (GGA-PBEsol) data for a geometry-optimized Ge3PbBr structure, as listed in Alexandria via LeMat-Bulk.

Calculated values
The uncorrected formation energy is 759 meV per atom. The density of states at the Fermi level is 2.46 states/eV/f.u. The calculation puts the total energy at -3.379 eV/atom.

Lattice parameters (Å, degrees): 5.1324 5.1324 5.1324 90.00 90.00 90.00
Closest atoms and distances in Å follow each position.
Element x y z (fractional)
Pb  0.5000  0.5000  0.5000  12 Ge 3.63
Ge  0.5000  0.0000  0.0000  2 Br 2.57
Ge  0.0000  0.5000  0.0000  2 Br 2.57
Ge  0.0000  0.0000  0.5000  2 Br 2.57
Br  0.0000  0.0000  0.0000  6 Ge 2.57

---

[9]
First-principles (GGA-PBEsol) data for a geometry-optimized GePdSeBr2 structure, as listed in Alexandria via LeMat-Bulk.

Calculated values
The uncorrected formation energy is 142 meV per atom. The density of states at the Fermi level is 0.80 states/eV/f.u. The calculation puts the total energy at -3.556 eV/atom.

Lattice parameters (Å, degrees): 4.9032 4.9032 5.0494 90.00 90.00 90.00
Closest atoms and distances in Å follow each position.
Element x y z (fractional)
Se  0.0000  0.0000  0.5000  2 Pd 2.52
Pd  0.0000  0.0000  0.0000  4 Br 2.45, 2 Se 2.52
Br  0.0000  0.5000  0.0000  2 Pd 2.45
Br  0.5000  0.0000  0.0000  2 Pd 2.45
Ge  0.5000  0.5000  0.5000  4 Se 3.47, 8 Br 3.52

---

[10]
First-principles (GGA-PBEsol) data for a geometry-optimized GePt2Br structure, as listed in Alexandria via LeMat-Bulk.

Calculated values
The uncorrected formation energy is 295 meV per atom. The density of states at the Fermi level is 1.29 states/eV/f.u. The calculation puts the total energy at -4.889 eV/atom.

Lattice parameters (Å, degrees): 4.5540 4.5540 4.5540 60.00 60.00 60.00
Closest atoms and distances in Å follow each position.
Element x y z (fractional)
Br  0.5000  0.5000  0.5000  8 Pt 2.79
Pt  0.7500  0.7500  0.7500  4 Ge 2.79, 4 Br 2.79
Pt  0.2500  0.2500  0.2500  4 Ge 2.79, 4 Br 2.79
Ge  0.0000  0.0000  0.0000  8 Pt 2.79